(1)
Entry from Alexandria via LeMat-Bulk: crystalline Ti3NbMo4 at its relaxed geometry (PBE).

Calculated values
For the density of states at the Fermi level, the calculation gives 18.91 states/eV/cell. The calculation puts the total energy at -9.4426 eV/atom. The formation energy is 0.192 eV/atom.

The structure in CIF format:
```
data_Ti3NbMo4
_chemical_formula_sum 'Ti6 Nb2 Mo8'
_cell_length_a 2.6605
_cell_length_b 9.3234
_cell_length_c 10.7858
_cell_angle_alpha 90.00
_cell_angle_beta 90.00
_cell_angle_gamma 90.00
_symmetry_space_group_name_H-M 'I m m m'
_symmetry_Int_Tables_number 71
_symmetry_space_group_name_Hall '-I 2 2'
loop_
_atom_site_label
_atom_site_fract_x
_atom_site_fract_y
_atom_site_fract_z
Ti1 0.0000 0.0000 0.0000
Ti2 0.0000 0.5000 0.2496
Nb1 0.0000 0.0000 0.5000
Mo1 0.0000 0.2560 0.3733
```

=====

(2)
Entry from Alexandria via LeMat-Bulk: crystalline Fe2SnMoH at its relaxed geometry (PBE).

Calculated values
For the density of states at the Fermi level, the calculation gives 3.54 states/eV/cell. The calculation puts the total energy at -6.8939 eV/atom.

The structure in CIF format:
```
data_Fe2SnMoH
_chemical_formula_sum 'Fe2 Sn1 Mo1 H1'
_cell_length_a 3.9613
_cell_length_b 3.9613
_cell_length_c 3.9708
_cell_angle_alpha 90.00
_cell_angle_beta 90.00
_cell_angle_gamma 90.00
_symmetry_space_group_name_H-M 'P 4/m m m'
_symmetry_Int_Tables_number 123
_symmetry_space_group_name_Hall '-P 4 2'
loop_
_atom_site_label
_atom_site_fract_x
_atom_site_fract_y
_atom_site_fract_z
Fe1 0.0000 0.5000 0.0000
Sn1 0.0000 0.0000 0.5000
Mo1 0.5000 0.5000 0.5000
H1 0.5000 0.5000 0.0000
```

=====

(3)
Entry from Alexandria via LeMat-Bulk: crystalline Al2CrInSe6 at its relaxed geometry (PBE).

Calculated values
The calculation puts the total energy at -4.6924 eV/atom. As for the uncorrected formation energy: -6.2 eV/f.u.

The structure in CIF format:
```
data_Al2CrInSe6
_chemical_formula_sum 'Al8 Cr4 In4 Se24'
_cell_length_a 12.6432
_cell_length_b 11.6119
_cell_length_c 6.7266
_cell_angle_alpha 90.00
_cell_angle_beta 102.03
_cell_angle_gamma 90.00
_symmetry_space_group_name_H-M 'C 1 2/c 1'
_symmetry_Int_Tables_number 15
loop_
_symmetry_equiv_pos_as_xyz
'x,y,z'
'-x,-y,-z'
'-x,y,-z+1/2'
'x,-y,z+1/2'
'x+1/2,y+1/2,z'
'-x+1/2,-y+1/2,-z'
'-x+1/2,y+1/2,-z+1/2'
'x+1/2,-y+1/2,z+1/2'
loop_
_atom_site_label
_atom_site_fract_x
_atom_site_fract_y
_atom_site_fract_z
Al1 0.1913 0.0936 0.2973
Cr1 0.0000 0.4112 0.2500
In1 0.0000 0.2321 0.7500
Se1 0.1081 0.4211 0.6168
Se2 0.1293 0.2702 0.1226
Se3 0.1327 0.0768 0.6097
```

=====

(4)
Entry from Alexandria via LeMat-Bulk: crystalline Re3BiN at its relaxed geometry (PBE).

Calculated values
For the density of states at the Fermi level, the calculation gives 4.90 states/eV/cell. Its energy above the most stable polymorph in this dataset is 0.0 kJ per mole of atoms. The calculation puts the total energy at -9.0119 eV/atom. As for the uncorrected formation energy: 4.5 eV/f.u.

The structure in CIF format:
```
data_Re3BiN
_chemical_formula_sum 'Re3 Bi1 N1'
_cell_length_a 4.2304
_cell_length_b 4.2304
_cell_length_c 4.2304
_cell_angle_alpha 90.00
_cell_angle_beta 90.00
_cell_angle_gamma 90.00
_symmetry_space_group_name_H-M 'P m -3 m'
_symmetry_Int_Tables_number 221
_symmetry_space_group_name_Hall '-P 4 2 3'
loop_
_atom_site_label
_atom_site_fract_x
_atom_site_fract_y
_atom_site_fract_z
Re1 0.0000 0.0000 0.5000
Bi1 0.5000 0.5000 0.5000
N1 0.0000 0.0000 0.0000
```